# GGA-PBE NaGa3Pt, relaxed
data_NaGa3Pt
_symmetry_space_group_name_H-M 'P 1'
_symmetry_Int_Tables_number 1
_cell_length_a 4.918
_cell_length_b 4.918
_cell_length_c 4.918
_cell_angle_alpha 90.00
_cell_angle_beta 90.00
_cell_angle_gamma 90.00
loop_
_symmetry_equiv_pos_as_xyz
'x,y,z'
loop_
_atom_site_label
_atom_site_fract_x
_atom_site_fract_y
_atom_site_fract_z
Na1 0.500 0.500 0.500
Ga1 0.000 0.500 0.000
Pt1 0.000 0.000 0.000
Ga2 0.000 0.000 0.500
Ga3 0.500 0.000 0.000
# space group = Pm-3m (221)
# E = -3.49 eV/atom
# energy relative to the lowest polymorph listed for this composition = 194 meV per atom